SbBr2Cl: optimized geometry, PBE. Values from VASP.

Structure (Quantum ESPRESSO input):
```
&SYSTEM
  ibrav = 0, nat = 4, ntyp = 3
/
ATOMIC_SPECIES
Br 79.90 Br.upf
Cl 35.45 Cl.upf
Sb 121.76 Sb.upf
CELL_PARAMETERS angstrom
-5.0219 1.4036 1.4692
0.0417 -0.7903 5.3592
3.5148 2.8767 -2.9528
ATOMIC_POSITIONS crystal
Br 0.0000 0.0000 0.0000
Br 0.2500 0.7500 0.5000
Cl 0.5000 0.5000 0.0000
Sb 0.7500 0.2500 0.5000
```

Computed properties:
E_form (uncorrected): -0.023 eV per atom
Space group: No. 119

=====

Na2AcHg6: optimized geometry, PBE. Values from VASP.

Structure (Quantum ESPRESSO input):
```
&SYSTEM
  ibrav = 0, nat = 9, ntyp = 3
/
ATOMIC_SPECIES
Hg 200.59 Hg.upf
Na 22.99 Na.upf
Ac 227.00 Ac.upf
CELL_PARAMETERS angstrom
-2.6375 1.4730 2.1871
-1.5840 -6.6832 5.7796
3.8794 -0.3284 8.0883
ATOMIC_POSITIONS crystal
Hg 0.3203 0.3569 0.0002
Hg 0.6797 0.9998 0.6431
Hg 0.3203 0.0002 0.3569
Hg 0.5000 0.3322 0.6677
Hg 0.6797 0.6431 0.9998
Hg 0.5000 0.6677 0.3322
Na 0.1447 0.3572 0.3572
Na 0.8553 0.6428 0.6428
Ac 0.0000 0.0000 0.0000
```

Computed properties:
ΔH_f (0 K): -27 kJ/mol of atoms
Space group: No. 12

=====

InS2O2: optimized geometry, PBE. Values from VASP.

Structure (Quantum ESPRESSO input):
```
&SYSTEM
  ibrav = 0, nat = 10, ntyp = 3
/
ATOMIC_SPECIES
S 32.06 S.upf
In 114.82 In.upf
O 16.00 O.upf
CELL_PARAMETERS angstrom
6.0436 0.0000 0.0000
0.0000 6.0436 0.0000
0.0000 0.0000 4.3628
ATOMIC_POSITIONS crystal
S 0.7507 0.2507 0.5000
S 0.2507 0.2493 0.5000
S 0.7493 0.7507 0.5000
S 0.2493 0.7493 0.5000
In 0.5000 0.5000 0.0000
In 0.0000 0.0000 0.0000
O 0.7507 0.2507 0.0000
O 0.2493 0.7493 0.0000
O 0.7493 0.7507 0.0000
O 0.2507 0.2493 0.0000
```

Computed properties:
E_form (uncorrected): 0.043 eV per atom
Space group: No. 127

=====

Dy2PaPd2S6: optimized geometry, PBE. Values from VASP.

Structure (Quantum ESPRESSO input):
```
&SYSTEM
  ibrav = 0, nat = 11, ntyp = 4
/
ATOMIC_SPECIES
S 32.06 S.upf
Dy 162.50 Dy.upf
Pd 106.42 Pd.upf
Pa 231.04 Pa.upf
CELL_PARAMETERS angstrom
-4.2649 -2.5369 -4.3346
5.2233 -3.5222 1.9300
-3.3935 -2.4251 4.7583
ATOMIC_POSITIONS crystal
S 0.0000 0.3331 0.2441
S 0.3330 0.0000 0.2441
S 0.6669 0.6670 0.2441
S 0.6670 0.0000 0.7559
S 0.3331 0.3330 0.7559
S 0.0000 0.6669 0.7559
Dy 0.6667 0.3333 0.5000
Dy 0.3333 0.6667 0.5000
Pd 0.3333 0.6667 0.0002
Pd 0.6667 0.3333 0.9998
Pa 0.0000 0.0000 0.0000
```

Computed properties:
E_form (uncorrected): -1.323 eV per atom
Space group: No. 162

=====

Mg2AlOs: optimized geometry, PBE. Values from VASP.

Structure (Quantum ESPRESSO input):
```
&SYSTEM
  ibrav = 0, nat = 4, ntyp = 3
/
ATOMIC_SPECIES
Os 190.23 Os.upf
Mg 24.30 Mg.upf
Al 26.98 Al.upf
CELL_PARAMETERS angstrom
4.5971 0.0000 0.0000
0.0000 2.7659 0.0017
0.0000 1.0642 5.1327
ATOMIC_POSITIONS crystal
Os 0.5000 0.2500 0.2500
Mg 0.0000 0.0023 0.0092
Mg 0.0000 0.4977 0.4908
Al 0.5000 0.7500 0.7500
```

Computed properties:
ΔH_f (0 K): 10 kJ/mol of atoms
Space group: No. 10

=====

Nb2AlZn: optimized geometry, PBE. Values from VASP.

Structure (Quantum ESPRESSO input):
```
&SYSTEM
  ibrav = 0, nat = 4, ntyp = 3
/
ATOMIC_SPECIES
Zn 65.41 Zn.upf
Al 26.98 Al.upf
Nb 92.91 Nb.upf
CELL_PARAMETERS angstrom
4.2569 0.0000 0.0000
0.0000 3.9547 0.0000
0.0000 0.0000 3.9547
ATOMIC_POSITIONS crystal
Zn 0.5000 0.5000 0.5000
Al 0.5000 0.0000 0.0000
Nb 0.0000 0.0000 0.5000
Nb 0.0000 0.5000 0.0000
```

Computed properties:
ΔH_f (0 K): -20 kJ/mol of atoms
Space group: No. 123

=====

KAgRu2: optimized geometry, PBE. Values from VASP.

Structure (Quantum ESPRESSO input):
```
&SYSTEM
  ibrav = 0, nat = 4, ntyp = 3
/
ATOMIC_SPECIES
Ag 107.87 Ag.upf
K 39.10 K.upf
Ru 101.07 Ru.upf
CELL_PARAMETERS angstrom
2.6776 0.0000 0.0000
0.0000 2.6776 0.0000
0.0000 0.0000 10.0929
ATOMIC_POSITIONS crystal
Ag 0.5000 0.5000 0.2500
K 0.5000 0.5000 0.7500
Ru 0.0000 0.0000 0.0307
Ru 0.0000 0.0000 0.4693
```

Computed properties:
ΔH_f (0 K): 96 kJ/mol of atoms
Space group: No. 123

=====

Al2SbHN: optimized geometry, PBE. Values from VASP.

Structure (Quantum ESPRESSO input):
```
&SYSTEM
  ibrav = 0, nat = 5, ntyp = 4
/
ATOMIC_SPECIES
H 1.01 H.upf
Al 26.98 Al.upf
N 14.01 N.upf
Sb 121.76 Sb.upf
CELL_PARAMETERS angstrom
4.2360 0.0000 0.0000
0.0000 3.7084 0.0000
0.0000 0.0000 4.2360
ATOMIC_POSITIONS crystal
H 0.0000 0.5000 0.0000
Al 0.0000 0.0000 0.5000
Al 0.5000 0.0000 0.0000
N 0.0000 0.0000 0.0000
Sb 0.5000 0.5000 0.5000
```

Computed properties:
Total DFT energy (no corrections): -4.36 eV/atom
Space group: No. 123

=====

no.,D(E_F) (states/eV/atom)
1,0.271
2,0.447
3,0.448
4,0.787
5,0.656
6,0.363
7,1.361
8,0.340